# 1
Entry from Alexandria: a relaxed structure of MgAgHg (GGA-PBE). Values from VASP.

Structure (Quantum ESPRESSO input):
```
&SYSTEM
  ibrav = 0, nat = 3, ntyp = 3
/
ATOMIC_SPECIES
Mg 24.30 Mg.upf
Hg 200.59 Hg.upf
Ag 107.87 Ag.upf
CELL_PARAMETERS angstrom
-1.255 -3.023 3.516
4.186 2.346 0.230
-1.386 2.326 1.505
ATOMIC_POSITIONS crystal
Mg 0.333 0.667 0.667
Hg 0.667 0.333 0.166
Ag 0.000 0.000 0.167
```

Calculated values
relative energy among the computed polymorphs = 74 meV per atom
space group = P-6m2 (187)
volume = 20.6 A^3/atom
Fermi-level density of states = 1.0 states/eV/cell
ΔH_f (0 K) = -0.10 eV per atom
E = -1.68 eV per atom
spin magnetization = 0.0 μB/f.u.

***

# 2
Entry from Alexandria: a relaxed structure of MnCoSb2 (GGA-PBE). Values from VASP.

Structure (Quantum ESPRESSO input):
```
&SYSTEM
  ibrav = 0, nat = 4, ntyp = 3
/
ATOMIC_SPECIES
Co 58.93 Co.upf
Mn 54.94 Mn.upf
Sb 121.76 Sb.upf
CELL_PARAMETERS angstrom
5.616 0.013 0.000
2.992 4.753 0.000
-4.304 -2.383 2.709
ATOMIC_POSITIONS crystal
Co 0.500 0.500 0.000
Mn 0.750 0.250 0.500
Sb 0.000 0.000 0.000
Sb 0.250 0.750 0.500
```

Calculated values
formation energy from raw total energies = 0.3398 eV per atom
relative energy among the computed polymorphs = 284 meV per atom
space group = I-4m2 (119)
volume = 18.0 A^3/atom
Fermi-level density of states = 3.6 states/eV/cell
E = -5.79 eV per atom
spin magnetization = 3.1 μB/f.u.

***

# 3
Entry from Alexandria: a relaxed structure of BaPrO2 (GGA-PBE). Values from VASP.

Structure (Quantum ESPRESSO input):
```
&SYSTEM
  ibrav = 0, nat = 4, ntyp = 3
/
ATOMIC_SPECIES
Ba 137.33 Ba.upf
Pr 140.91 Pr.upf
O 16.00 O.upf
CELL_PARAMETERS angstrom
3.724 0.000 0.000
1.862 3.225 0.000
1.862 1.075 6.315
ATOMIC_POSITIONS crystal
Ba 0.500 0.500 0.500
Pr 0.000 0.000 0.000
O 0.266 0.266 0.201
O 0.734 0.734 0.799
```

Calculated values
formation energy from raw total energies = -2.6262 eV per atom
relative energy among the computed polymorphs = 0 meV per atom
space group = R-3m (166)
volume = 19.0 A^3/atom
Fermi-level density of states = 1.0 states/eV/cell
E = -6.78 eV per atom
spin magnetization = 0.0 μB/f.u.